The following is a GGA-PBE calculation of a relaxed structure of SiPOs3, from Alexandria via LeMat-Bulk.

Unit cell a=4.352 b=4.352 c=4.352 alpha=90.00 beta=90.00 gamma=90.00
Fractional coordinates of all 5 atoms:
Os  0.500  0.000  0.000
Si  0.500  0.500  0.500
P  0.000  0.000  0.000
Os  0.000  0.000  0.500
Os  0.000  0.500  0.000

## Properties
Space-group type: Pm-3m, No. 221
Polymorph energy (0 for the lowest one), eV/atom: 0.000
E_form (uncorrected), meV/atom: 1148
Crystal system: cubic